1.
The following is a DFT calculation (PBE-GGA) of an optimized crystal structure of SrZn3Rh.

Lattice parameters (Å, degrees): 22.8839 7.0133 8.6786 90.00 162.77 90.00
Positions (direct):
Zn1 0.8443 0.9466 0.7023
Zn2 0.5408 0.1166 0.3848
Zn3 0.2267 0.8902 0.7555
Zn4 0.0408 0.3834 0.8848
Zn5 0.6557 0.4466 0.7977
Zn6 0.4592 0.8834 0.6152
Zn7 0.7267 0.6098 0.2555
Zn8 0.1557 0.0534 0.2977
Zn9 0.9592 0.6166 0.1152
Zn10 0.2733 0.3902 0.7445
Zn11 0.7733 0.1098 0.2445
Zn12 0.3443 0.5534 0.2023
Sr1 0.5230 0.7322 0.1595
Sr2 0.9770 0.2322 0.3405
Sr3 0.4770 0.2678 0.8405
Sr4 0.0230 0.7678 0.6595
Rh1 0.0950 0.6910 0.1864
Rh2 0.9050 0.3090 0.8136
Rh3 0.4050 0.1910 0.3136
Rh4 0.5950 0.8090 0.6864

VASP energy = -2.81 eV/atom
mass density = 6.225 g/cm³
excess energy over the best structure of this formula in the dataset = 0.56 eV/f.u.

2.
The following is a DFT calculation (PBE-GGA) of an optimized crystal structure of CsRbV2Pb.

Lattice parameters (Å, degrees): 5.9059 6.5289 5.9059 90.00 90.00 90.00
Positions (direct):
Cs1 0.0000 0.0000 0.0000
Pb1 0.0000 0.5000 0.0000
Rb1 0.5000 0.5000 0.5000
V1 0.5000 0.0000 0.0000
V2 0.0000 0.0000 0.5000

VASP energy = -2.89 eV/atom
mass density = 3.846 g/cm³

How do the records compare in ΔE_f? In the order shown, they have -0.236; 1.866 eV/atom.